1.
{
  "formula": "Ta2Be2FeRu5",
  "functional": "PBE",
  "state": "relaxed",
  "lattice": [[3.095, 0.000, 0.000], [0.000, 9.252, 0.000], [0.000, 0.000, 9.252]],
  "species": ["Ta", "Ta", "Ta", "Ta", "Be", "Be", "Be", "Be", "Fe", "Fe", "Ru", "Ru", "Ru", "Ru", "Ru", "Ru", "Ru", "Ru", "Ru", "Ru"],
  "frac_coords": [[0.000, 0.675, 0.175], [0.000, 0.325, 0.825], [0.000, 0.175, 0.325], [0.000, 0.825, 0.675], [0.000, 0.123, 0.623], [0.000, 0.877, 0.377], [0.000, 0.623, 0.877], [0.000, 0.377, 0.123], [0.000, 0.000, 0.000], [0.000, 0.500, 0.500], [0.500, 0.205, 0.074], [0.500, 0.795, 0.926], [0.500, 0.074, 0.795], [0.500, 0.705, 0.426], [0.500, 0.926, 0.205], [0.500, 0.295, 0.574], [0.500, 0.574, 0.705], [0.500, 0.426, 0.295], [0.500, 0.500, 0.000], [0.500, 0.000, 0.500]],
  "space_group": "P4/mbm",
  "e_tot_ev_per_cell": -178.2,
  "density_kg_m3": 11798,
  "dos_at_fermi_per_ev_fu": 4.9,
  "volume_a3_per_atom": 13.2
}



2.
{
  "formula": "NaSr2US5",
  "functional": "PBE",
  "state": "relaxed",
  "lattice": [[-1.307, 3.292, -3.657], [0.815, -5.254, -5.020], [-6.617, -0.851, 5.142]],
  "species": ["Na", "Sr", "Sr", "U", "S", "S", "S", "S", "S"],
  "frac_coords": [[0.000, 0.500, 0.000], [0.210, 0.210, 0.420], [0.790, 0.790, 0.580], [0.500, 0.000, 0.000], [0.635, 0.896, 0.270], [0.365, 0.104, 0.730], [0.365, 0.626, 0.730], [0.635, 0.374, 0.270], [0.000, 0.000, 0.000]],
  "e_form_raw_kj_per_mol_atoms": -150.66,
  "space_group": "Immm",
  "e_tot_ev_per_cell": -50.7,
  "density_kg_m3": 3722,
  "dos_at_fermi_per_ev_fu": 2.9,
  "volume_a3_per_atom": 29.6
}



3.
{
  "formula": "KRb2SbBr6",
  "functional": "PBE",
  "state": "relaxed",
  "lattice": [[8.073, 0.000, -0.021], [0.000, 8.550, 0.000], [0.040, 0.000, 11.597]],
  "species": ["K", "K", "Rb", "Rb", "Rb", "Rb", "Sb", "Sb", "Br", "Br", "Br", "Br", "Br", "Br", "Br", "Br", "Br", "Br", "Br", "Br"],
  "frac_coords": [[0.500, 0.000, 0.000], [0.000, 0.500, 0.500], [0.027, 0.924, 0.250], [0.527, 0.576, 0.750], [0.973, 0.076, 0.750], [0.473, 0.424, 0.250], [0.500, 0.000, 0.500], [0.000, 0.500, 0.000], [0.285, 0.680, 0.054], [0.785, 0.820, 0.554], [0.715, 0.320, 0.946], [0.215, 0.180, 0.446], [0.328, 0.721, 0.439], [0.828, 0.779, 0.939], [0.672, 0.279, 0.561], [0.172, 0.221, 0.061], [0.887, 0.538, 0.230], [0.387, 0.962, 0.730], [0.113, 0.462, 0.770], [0.613, 0.038, 0.270]],
  "e_form_raw_kj_per_mol_atoms": -127.66,
  "polymorph_energy_ev_per_atom": 0.000,
  "space_group": "P2_1/c",
  "e_tot_ev_per_cell": -60.8,
  "density_kg_m3": 3366,
  "dos_at_fermi_per_ev_fu": 0.0,
  "volume_a3_per_atom": 40.0
}



4.
{
  "formula": "HoZnCo",
  "functional": "PBE",
  "state": "relaxed",
  "lattice": [[-1.763, -0.303, 3.086], [3.634, -0.579, 2.019], [-1.531, 3.876, -0.494]],
  "species": ["Zn", "Co", "Ho"],
  "frac_coords": [[0.167, 0.000, 0.000], [0.166, 0.333, 0.667], [0.667, 0.667, 0.333]],
  "space_group": "P-6m2",
  "e_tot_ev_per_cell": -13.6,
  "density_kg_m3": 8828,
  "dos_at_fermi_per_ev_fu": 2.1,
  "volume_a3_per_atom": 18.1
}



5.
{
  "formula": "UTaCo4",
  "functional": "PBE",
  "state": "relaxed",
  "lattice": [[-1.850, 2.960, 3.350], [-4.712, 1.097, -0.078], [-2.948, -1.752, 3.413]],
  "species": ["Co", "Co", "Co", "Co", "U", "Ta"],
  "frac_coords": [[0.625, 0.625, 0.124], [0.625, 0.124, 0.625], [0.625, 0.625, 0.625], [0.124, 0.625, 0.625], [0.250, 0.250, 0.250], [0.000, 0.000, 0.000]],
  "space_group": "F-43m",
  "e_tot_ev_per_cell": -52.4,
  "density_kg_m3": 13576,
  "dos_at_fermi_per_ev_fu": 5.6,
  "volume_a3_per_atom": 13.3
}



6.
{
  "formula": "TiTe4Pd",
  "functional": "PBE",
  "state": "relaxed",
  "lattice": [[3.964, 0.000, 0.000], [0.000, 6.132, -0.023], [0.000, -0.001, 6.738]],
  "species": ["Ti", "Te", "Te", "Te", "Te", "Pd"],
  "frac_coords": [[0.500, 0.000, 0.500], [0.000, 0.734, 0.663], [0.500, 0.247, 0.838], [0.500, 0.753, 0.162], [0.000, 0.266, 0.337], [0.000, 0.000, 0.000]],
  "e_form_raw_kj_per_mol_atoms": -41.52,
  "space_group": "P2/m",
  "e_tot_ev_per_cell": -28.2,
  "density_kg_m3": 6739,
  "dos_at_fermi_per_ev_fu": 3.5,
  "volume_a3_per_atom": 27.3
}



Please write out number 5 again, unchanged.
{
  "formula": "UTaCo4",
  "functional": "PBE",
  "state": "relaxed",
  "lattice": [[-1.850, 2.960, 3.350], [-4.712, 1.097, -0.078], [-2.948, -1.752, 3.413]],
  "species": ["Co", "Co", "Co", "Co", "U", "Ta"],
  "frac_coords": [[0.625, 0.625, 0.124], [0.625, 0.124, 0.625], [0.625, 0.625, 0.625], [0.124, 0.625, 0.625], [0.250, 0.250, 0.250], [0.000, 0.000, 0.000]],
  "space_group": "F-43m",
  "e_tot_ev_per_cell": -52.4,
  "density_kg_m3": 13576,
  "dos_at_fermi_per_ev_fu": 5.6,
  "volume_a3_per_atom": 13.3
}